The following is a PBE calculation of a relaxed structure of MgTlTc2, from the Alexandria database.

Total DFT energy (no corrections)   -6.01 eV/atom
Energy above the lowest structure with this stoichiometry   0 meV/atom
ΔE_f   0.1652 eV per atom

abc: 3.043 3.043 8.055
angles: 90.00 90.00 90.00
Space group P4mm (No. 99)
Unique sites:
Mg 0.000 0.000 0.000 (multiplicity 1)
Tl 0.500 0.500 0.682 (multiplicity 1)
Tc 0.000 0.000 0.406 (multiplicity 1)
Tc 0.500 0.500 0.234 (multiplicity 1)